A relaxed Cs2IrWF6 crystal, computed with PBE+U.

Cell lengths 6.458, 6.458, 6.458 Å; angles 115.70, 115.70, 97.62 degrees
Element x y z (fractional)
Cs (0.250, 0.750, 0.500)
Cs (0.750, 0.250, 0.500)
Ir (0.000, 0.000, 0.000)
W (0.500, 0.500, 0.000)
F (0.249, 0.249, 0.000)
F (0.283, 0.283, 0.566)
F (0.283, 0.717, 0.000)
F (0.717, 0.283, 0.000)
F (0.717, 0.717, 0.434)
F (0.751, 0.751, 0.000)

Summary:
SG: No. 139
DFT total energy, eV/atom: -4.83